No. 1
Here is a relaxed SrPdCl4 crystal from Alexandria via LeMat-Bulk. Energies are from PBE-GGA.

Calculated values
- E: -3.64 eV per atom
- Uncorrected formation energy: -1.259 eV per atom
- M_tot: 2.0 μB/f.u.
- Polymorph energy (0 for the lowest one): 0.102 eV per atom

Lattice parameters (Å, degrees): 7.860 7.859 7.859 72.33 72.33 113.14
Fractional positions:
Sr 0.125 0.375 0.750
Sr 0.875 0.625 0.250
Cl 0.244 0.672 0.928
Cl 0.756 0.328 0.072
Cl 0.600 0.672 0.572
Cl 0.828 0.256 0.572
Cl 0.400 0.328 0.428
Cl 0.172 0.100 0.072
Cl 0.172 0.744 0.428
Cl 0.828 0.900 0.928
Pd 0.625 0.875 0.750
Pd 0.375 0.125 0.250


No. 2
Here is a relaxed SrPd2Cl2 crystal from Alexandria via LeMat-Bulk. Energies are from PBE-GGA.

Calculated values
- E: -3.75 eV per atom
- Uncorrected formation energy: -0.600 eV per atom
- M_tot: 0.0 μB/f.u.
- Polymorph energy (0 for the lowest one): 0.113 eV per atom

Lattice parameters (Å, degrees): 5.110 5.110 5.639 63.06 63.06 90.00
Fractional positions:
Cl 0.750 0.250 0.500
Cl 0.250 0.750 0.500
Pd 0.340 0.340 0.319
Pd 0.660 0.660 0.681
Sr 0.000 0.000 0.000


No. 3
Here is a relaxed Sr2PdCl crystal from Alexandria via LeMat-Bulk. Energies are from PBE-GGA.

Calculated values
- E: -3.71 eV per atom
- Uncorrected formation energy: -1.107 eV per atom
- M_tot: 0.0 μB/f.u.
- Polymorph energy (0 for the lowest one): 0.088 eV per atom

Lattice parameters (Å, degrees): 3.721 3.721 8.122 90.00 90.00 90.00
Fractional positions:
Sr 0.000 0.000 0.775
Sr 0.000 0.000 0.225
Cl 0.500 0.500 0.500
Pd 0.500 0.500 0.000